Record 1
BaB2RhO6 after structural relaxation. Source: Alexandria via LeMat-Bulk, functional GGA-PBE.

a = 5.0179 Å, b = 5.0179 Å, c = 17.6653 Å
α = 90.00°, β = 90.00°, γ = 120.00°
Space group R-3 (No. 148, hexagonal axes)
Asymmetric unit:
Ba 0.0000 0.0000 0.0000
B 0.0000 0.0000 0.2266
Rh 0.0000 0.0000 0.5000
O 0.0326 0.4269 0.8992

Computed properties:
energy relative to the elements, uncorrected: -2.023 eV/atom

=====

Record 2
Ba2BRuO6 after structural relaxation. Source: Alexandria via LeMat-Bulk, functional GGA-PBE.

a = 6.880 Å, b = 9.016 Å, c = 5.667 Å
α = 90.00°, β = 127.32°, γ = 90.00°
Space group C2/m (No. 12)
Asymmetric unit:
Ba 0.000 0.250 0.000
B 0.000 0.000 0.500
Ru 0.000 0.500 0.500
O 0.000 0.285 0.500
O 0.186 0.000 0.499
O 0.215 0.500 0.931

Computed properties:
energy relative to the elements, uncorrected: -1.858 eV/atom

=====

Record 3
BaB2RuO8 after structural relaxation. Source: Alexandria via LeMat-Bulk, functional GGA-PBE.

a = 4.6926 Å, b = 4.6926 Å, c = 7.8122 Å
α = 90.00°, β = 90.00°, γ = 120.00°
Space group P-3 (No. 147)
Asymmetric unit:
Ba 0.0000 0.0000 0.0000
B 0.3333 0.6667 0.7057
Ru 0.0000 0.0000 0.5000
O 0.0551 0.3526 0.6406
O 0.3333 0.6667 0.8857

Computed properties:
energy relative to the elements, uncorrected: -1.621 eV/atom

=====

Record 4
BaBRuO6 after structural relaxation. Source: Alexandria via LeMat-Bulk, functional GGA-PBE.

a = 4.750 Å, b = 9.138 Å, c = 5.655 Å
α = 90.00°, β = 95.19°, γ = 90.00°
Space group C2 (No. 5)
Asymmetric unit:
Ba 0.000 0.000 0.000
B 0.000 0.426 0.500
Ru 0.000 0.709 0.500
O 0.154 0.537 0.356
O 0.213 0.747 0.770
O 0.217 0.345 0.644

Computed properties:
energy relative to the elements, uncorrected: -1.655 eV/atom

=====

Record 5
Ba2BRuO after structural relaxation. Source: Alexandria via LeMat-Bulk, functional GGA-PBE.

a = 5.697 Å, b = 5.697 Å, c = 3.915 Å
α = 90.00°, β = 90.00°, γ = 90.00°
Space group P4/mmm (No. 123)
Asymmetric unit:
Ba 0.000 0.500 0.000
B 0.000 0.000 0.000
Ru 0.000 0.000 0.500
O 0.500 0.500 0.500

Computed properties:
energy relative to the elements, uncorrected: -0.082 eV/atom

=====

Record 6
BaB2S3O13 after structural relaxation. Source: Alexandria via LeMat-Bulk, functional GGA-PBE.

a = 17.559 Å, b = 12.678 Å, c = 4.506 Å
α = 90.00°, β = 90.00°, γ = 90.00°
Space group Pnma (No. 62)
Asymmetric unit:
Ba 0.215 0.250 0.023
B 0.083 0.651 0.557
S 0.044 0.250 0.633
S 0.151 0.565 0.052
O 0.000 0.153 0.518
O 0.047 0.250 0.952
O 0.083 0.606 0.870
O 0.119 0.250 0.500
O 0.120 0.750 0.527
O 0.121 0.566 0.373
O 0.166 0.044 0.982
O 0.216 0.636 0.021

Computed properties:
energy relative to the elements, uncorrected: -1.836 eV/atom